# PBE RbSiSb2Te, relaxed
data_RbSiSb2Te
_cell_length_a 5.9537
_cell_length_b 5.9537
_cell_length_c 6.0965
_cell_angle_alpha 90.00
_cell_angle_beta 90.00
_cell_angle_gamma 90.00
_symmetry_space_group_name_H-M 'P 4/m m m'
_symmetry_Int_Tables_number 123
_symmetry_space_group_name_Hall '-P 4 2'
loop_
_atom_site_label
_atom_site_type_symbol
_atom_site_fract_x
_atom_site_fract_y
_atom_site_fract_z
_atom_site_occupancy
Rb1 Rb 0.0000 0.0000 0.0000 1
Si1 Si 0.5000 0.5000 0.5000 1
Sb1 Sb 0.0000 0.5000 0.0000 1
Te1 Te 0.0000 0.0000 0.5000 1
# - size of the total moment (Bohr magnetons per cell) = 0.00
# - V (Å³ per cell) = 216.1
# - total DFT energy (no corrections) (eV per atom) = -1.8711
# - E_form (uncorrected) (eV per atom) = 1.684
# - offset from the most stable computed form (meV per atom) = 1507